Here is a relaxed structure of AcHo3Mg4 from Alexandria. Energies are from PBE.

Unit cell a=5.453 b=7.746 c=10.904 alpha=90.00 beta=90.00 gamma=90.00
Element x y z (fractional)
Ho1 0.000 0.000 0.000
Ho2 0.500 0.500 0.250
Ho3 0.000 0.000 0.500
Ho4 0.500 0.000 0.250
Ho5 0.500 0.000 0.750
Ho6 0.500 0.500 0.750
Mg1 0.500 0.766 0.000
Mg2 0.000 0.234 0.250
Mg3 0.000 0.234 0.750
Mg4 0.500 0.766 0.500
Mg5 0.500 0.234 0.500
Mg6 0.500 0.234 0.000
Mg7 0.000 0.766 0.750
Mg8 0.000 0.766 0.250
Ac1 0.000 0.500 0.500
Ac2 0.000 0.500 0.000

Results
energy of formation	-0.44	eV per formula unit

Here is a relaxed structure of Ac4HoMg5 from Alexandria. Energies are from PBE.

Unit cell a=4.045 b=4.045 c=20.290 alpha=90.00 beta=90.00 gamma=90.00
Element x y z (fractional)
Mg1 0.500 0.500 0.917
Mg2 0.500 0.500 0.707
Mg3 0.500 0.500 0.293
Mg4 0.500 0.500 0.083
Mg5 0.500 0.500 0.500
Ho1 0.000 0.000 0.000
Ac1 0.000 0.000 0.604
Ac2 0.000 0.000 0.811
Ac3 0.000 0.000 0.189
Ac4 0.000 0.000 0.396

Results
energy of formation	-0.70	eV per formula unit

Here is a relaxed structure of Ac2HoMg5 from Alexandria. Energies are from PBE.

Unit cell a=5.413 b=5.413 c=8.990 alpha=107.52 beta=107.52 gamma=90.00
Element x y z (fractional)
Mg1 0.894 0.394 0.789
Mg2 0.394 0.894 0.789
Mg3 0.606 0.106 0.211
Mg4 0.500 0.500 0.000
Mg5 0.106 0.606 0.211
Ac1 0.742 0.742 0.483
Ac2 0.258 0.258 0.517
Ho1 0.000 0.000 0.000

Results
energy of formation	-0.31	eV per formula unit

Here is a relaxed structure of AcHo2Mg9 from Alexandria. Energies are from PBE.

Unit cell a=6.119 b=6.119 c=10.443 alpha=72.97 beta=72.97 gamma=60.00
Element x y z (fractional)
Ho1 0.854 0.854 0.439
Ho2 0.146 0.146 0.561
Mg1 0.334 0.334 0.997
Mg2 0.666 0.666 0.003
Mg3 0.411 0.920 0.257
Mg4 0.500 0.500 0.500
Mg5 0.080 0.589 0.743
Mg6 0.411 0.411 0.257
Mg7 0.589 0.080 0.743
Mg8 0.589 0.589 0.743
Mg9 0.920 0.411 0.257
Ac1 0.000 0.000 0.000

Results
energy of formation	-0.80	eV per formula unit

Here is a relaxed structure of AcHoMg2 from Alexandria. Energies are from PBE.

Unit cell a=3.910 b=3.910 c=8.052 alpha=90.00 beta=90.00 gamma=90.00
Element x y z (fractional)
Mg1 0.000 0.000 0.218
Mg2 0.000 0.000 0.782
Ho1 0.500 0.500 0.000
Ac1 0.500 0.500 0.500

Results
energy of formation	-0.23	eV per formula unit

Here is a relaxed structure of AcHo5Mg6 from Alexandria. Energies are from PBE.

Unit cell a=5.412 b=7.674 c=8.568 alpha=90.00 beta=71.59 gamma=90.00
Element x y z (fractional)
Ho1 0.336 0.500 0.328
Ho2 0.331 0.000 0.338
Ho3 0.669 0.000 0.662
Ho4 0.664 0.500 0.672
Ho5 0.000 0.500 0.000
Mg1 0.500 0.262 0.000
Mg2 0.172 0.259 0.657
Mg3 0.172 0.741 0.657
Mg4 0.828 0.259 0.343
Mg5 0.500 0.738 0.000
Mg6 0.828 0.741 0.343
Ac1 0.000 0.000 0.000

Results
energy of formation	-0.71	eV per formula unit

Here is a relaxed structure of Ac3HoMg4 from Alexandria. Energies are from PBE.

Unit cell a=4.023 b=4.023 c=16.197 alpha=90.00 beta=90.00 gamma=90.00
Element x y z (fractional)
Mg1 0.000 0.000 0.370
Mg2 0.000 0.000 0.630
Mg3 0.000 0.000 0.104
Mg4 0.000 0.000 0.896
Ac1 0.500 0.500 0.762
Ac2 0.500 0.500 0.500
Ac3 0.500 0.500 0.238
Ho1 0.500 0.500 0.000

Results
energy of formation	-0.54	eV per formula unit

Here is a relaxed structure of Ac3HoMg2 from Alexandria. Energies are from PBE.

Unit cell a=4.068 b=4.068 c=13.061 alpha=90.00 beta=90.00 gamma=90.00
Element x y z (fractional)
Ac1 0.000 0.000 0.318
Ac2 0.000 0.000 0.682
Ac3 0.000 0.000 0.000
Ho1 0.500 0.500 0.500
Mg1 0.500 0.500 0.839
Mg2 0.500 0.500 0.161

Results
energy of formation	-0.13	eV per formula unit

Here is a relaxed structure of Ac2Ho3Mg2 from Alexandria. Energies are from PBE.

Unit cell a=3.741 b=3.709 c=16.940 alpha=90.00 beta=96.34 gamma=90.00
Element x y z (fractional)
Ho1 0.568 0.500 0.135
Ho2 0.432 0.500 0.865
Ho3 0.000 0.000 0.000
Mg1 0.127 0.000 0.254
Mg2 0.873 0.000 0.746
Ac1 0.301 0.500 0.603
Ac2 0.699 0.500 0.397

Results
energy of formation	0.31	eV per formula unit

Here is a relaxed structure of Ac3Ho2Mg2 from Alexandria. Energies are from PBE.

Unit cell a=5.486 b=3.730 c=12.548 alpha=90.00 beta=77.37 gamma=90.00
Element x y z (fractional)
Ac1 0.848 0.000 0.305
Ac2 0.000 0.000 0.000
Ac3 0.152 0.000 0.695
Mg1 0.429 0.500 0.143
Mg2 0.571 0.500 0.857
Ho1 0.714 0.500 0.572
Ho2 0.286 0.500 0.428

Results
energy of formation	0.51	eV per formula unit

Here is a relaxed structure of AcHoMg from Alexandria. Energies are from PBE.

Unit cell a=3.919 b=3.919 c=7.070 alpha=106.09 beta=106.09 gamma=90.00
Element x y z (fractional)
Ac1 0.006 0.006 0.011
Ho1 0.314 0.314 0.628
Mg1 0.680 0.680 0.361

Results
energy above the lowest structure with this stoichiometry	0.0	kJ/mol of atoms
energy of formation	-0.03	eV per formula unit

Here is a relaxed structure of AcHoMg from Alexandria. Energies are from PBE.

Unit cell a=5.062 b=5.064 c=8.295 alpha=89.97 beta=90.00 gamma=90.00
Last column: magnetic moment on the atom in μB.
Element x y z (fractional)
Mg1 0.813 0.866 0.161  0.00
Mg2 0.313 0.367 0.678  0.00
Ac1 0.814 0.867 0.577  0.09
Ac2 0.314 0.367 0.262  0.09
Ho1 0.814 0.367 0.920  0.15
Ho2 0.314 0.867 0.920  0.15

Results
energy above the lowest structure with this stoichiometry	9.4	kJ/mol of atoms
energy of formation	0.26	eV per formula unit

Here is a relaxed structure of AcNdHoMg from Alexandria. Energies are from PBE.

Unit cell a=3.834 b=3.834 c=9.061 alpha=90.00 beta=90.00 gamma=90.00
Element x y z (fractional)
Ac1 0.000 0.000 0.079
Mg1 0.000 0.000 0.562
Nd1 0.500 0.500 0.783
Ho1 0.500 0.500 0.361

Results
energy above the lowest structure with this stoichiometry	0.0	kJ/mol of atoms
energy of formation	-0.06	eV per formula unit

Here is a relaxed structure of AcNdHoMg from Alexandria. Energies are from PBE.

Unit cell a=5.746 b=5.746 c=5.746 alpha=60.00 beta=60.00 gamma=60.00
Element x y z (fractional)
Ho1 0.750 0.750 0.750
Nd1 0.250 0.250 0.250
Mg1 0.000 0.000 0.000
Ac1 0.500 0.500 0.500

Results
energy above the lowest structure with this stoichiometry	13.6	kJ/mol of atoms
energy of formation	0.50	eV per formula unit

Here is a relaxed structure of AcHoMgOs from Alexandria. Energies are from PBE.

Unit cell a=5.213 b=5.213 c=5.213 alpha=60.00 beta=60.00 gamma=60.00
Element x y z (fractional)
Ac1 0.750 0.750 0.750
Ho1 0.250 0.250 0.250
Os1 0.500 0.500 0.500
Mg1 0.000 0.000 0.000

Results
energy of formation	0.32	eV per formula unit

Here is a relaxed structure of AcHoMgPb2 from Alexandria. Energies are from PBE.

Unit cell a=6.533 b=6.725 c=8.179 alpha=114.28 beta=90.00 gamma=90.00
Element x y z (fractional)
Mg1 0.000 0.000 0.000
Mg2 0.000 0.500 0.000
Ac1 0.770 0.250 0.500
Ac2 0.230 0.750 0.500
Pb1 0.274 0.352 0.705
Pb2 0.726 0.852 0.705
Pb3 0.726 0.648 0.295
Pb4 0.274 0.148 0.295
Ho1 0.500 0.250 0.000
Ho2 0.500 0.750 0.000

Results
energy of formation	-1.28	eV per formula unit

Here is a relaxed structure of AcHoMgPb from Alexandria. Energies are from PBE.

Unit cell a=5.606 b=5.606 c=5.606 alpha=60.00 beta=60.00 gamma=60.00
Element x y z (fractional)
Ho1 0.500 0.500 0.500
Mg1 0.750 0.750 0.750
Ac1 0.000 0.000 0.000
Pb1 0.250 0.250 0.250

Results
energy of formation	-0.94	eV per formula unit

Here is a relaxed structure of AcHoMgPd from Alexandria. Energies are from PBE.

Unit cell a=5.368 b=5.368 c=5.368 alpha=60.00 beta=60.00 gamma=60.00
Element x y z (fractional)
Mg1 0.000 0.000 0.000
Ac1 0.250 0.250 0.250
Ho1 0.750 0.750 0.750
Pd1 0.500 0.500 0.500

Results
energy of formation	-1.20	eV per formula unit

Here is a relaxed structure of AcHoPuMg from Alexandria. Energies are from PBE.

Unit cell a=5.653 b=5.653 c=5.653 alpha=60.00 beta=60.00 gamma=60.00
Last column: magnetic moment on the atom in μB.
Element x y z (fractional)
Mg1 0.000 0.000 0.000  -0.01
Ac1 0.250 0.250 0.250  0.11
Pu1 0.500 0.500 0.500  5.59
Ho1 0.750 0.750 0.750  0.14

Results
energy of formation	0.79	eV per formula unit

Here is a relaxed structure of AcHoMgRh from Alexandria. Energies are from PBE.

Unit cell a=5.278 b=5.278 c=5.278 alpha=60.00 beta=60.00 gamma=60.00
Element x y z (fractional)
Ac1 0.750 0.750 0.750
Mg1 0.500 0.500 0.500
Ho1 0.250 0.250 0.250
Rh1 0.000 0.000 0.000

Results
energy of formation	-1.05	eV per formula unit

| no. | magnetization (μB per formula unit) |
| --- | --- |
| 1 | 0.0 |
| 2 | 0.0 |
| 3 | 0.0 |
| 4 | 0.0 |
| 5 | 0.0 |
| 6 | 0.0 |
| 7 | 0.0 |
| 8 | 0.0 |
| 9 | 0.0 |
| 10 | 0.0 |
| 11 | 0.0 |
| 12 | 0.5 |
| 13 | 0.0 |
| 14 | 0.0 |
| 15 | 0.0 |
| 16 | 0.0 |
| 17 | 0.0 |
| 18 | 0.0 |
| 19 | 6.3 |
| 20 | 0.0 |